Record 1
# RbVHgF6

A geometry-optimized RbVHgF6 structure (PBE with a Hubbard U, Alexandria via LeMat-Bulk). Values from VASP.

Calculated values
DFT total energy   -4.5747 eV/atom

Quantum ESPRESSO input file:
```
&SYSTEM
  ibrav = 0, nat = 9, ntyp = 4
/
ATOMIC_SPECIES
V 50.94 V.upf
Rb 85.47 Rb.upf
F 19.00 F.upf
Hg 200.59 Hg.upf
ATOMIC_POSITIONS crystal
V 0.3306 0.3346 0.4622
Rb 0.0224 0.9886 0.1070
F 0.5214 0.4644 0.2921
F 0.1358 0.2062 0.6291
F 0.5777 0.2140 0.7339
F 0.5305 0.0112 0.2905
F 0.0798 0.4575 0.1931
F 0.1259 0.6607 0.6304
Hg 0.6756 0.6627 0.6616
CELL_PARAMETERS angstrom
-4.4175 -2.8861 2.6635
0.6344 -2.3268 5.5729
-1.4843 4.4559 1.9946
```



Record 2
# Rb2HgWF6

A geometry-optimized Rb2HgWF6 structure (PBE with a Hubbard U, Alexandria via LeMat-Bulk). Values from VASP.

Calculated values
DFT total energy   -4.5264 eV/atom

Quantum ESPRESSO input file:
```
&SYSTEM
  ibrav = 0, nat = 10, ntyp = 4
/
ATOMIC_SPECIES
Hg 200.59 Hg.upf
F 19.00 F.upf
W 183.84 W.upf
Rb 85.47 Rb.upf
ATOMIC_POSITIONS crystal
Hg 0.0000 0.0000 0.0000
F 0.2974 0.2974 0.0000
F 0.7026 0.2974 0.0000
F 0.7049 0.7049 0.5902
F 0.2951 0.2951 0.4098
F 0.2974 0.7026 0.0000
F 0.7026 0.7026 0.0000
W 0.5000 0.5000 0.0000
Rb 0.2500 0.7500 0.5000
Rb 0.7500 0.2500 0.5000
CELL_PARAMETERS angstrom
-4.3125 -1.5650 5.2415
3.3456 -6.0352 0.9507
2.6372 -1.5604 6.3324
```



Record 3
# RbHgWF2

A geometry-optimized RbHgWF2 structure (PBE with a Hubbard U, Alexandria via LeMat-Bulk). Values from VASP.

Calculated values
DFT total energy   -2.6983 eV/atom

Quantum ESPRESSO input file:
```
&SYSTEM
  ibrav = 0, nat = 5, ntyp = 4
/
ATOMIC_SPECIES
Hg 200.59 Hg.upf
F 19.00 F.upf
W 183.84 W.upf
Rb 85.47 Rb.upf
ATOMIC_POSITIONS crystal
Hg 0.0000 0.5000 0.0000
F 0.5000 0.0000 0.0000
F 0.0000 0.0000 0.5000
W 0.5000 0.5000 0.5000
Rb 0.0000 0.0000 0.0000
CELL_PARAMETERS angstrom
5.0373 0.0000 0.0000
0.0000 6.1742 0.0000
0.0000 0.0000 5.0373
```